[1]
# TmMn2Al10

An optimized crystal structure of TmMn2Al10 (PBE, Alexandria).

## Properties
The value obtained for the volume is 15.855 A^3/atom. Its space group is Cmcm (63). The energy of formation comes out at -294 meV/atom. The crystal system is orthorhombic. For the total energy, the calculation gives -4.928 eV/atom. As for the density of states at the Fermi level: 13.03 states/eV/cell.

Unit cell a=6.791 b=6.791 c=9.011 alpha=90.00 beta=90.00 gamma=97.32
Fractional positions:
Tm  0.128  0.872  0.750
Tm  0.872  0.128  0.250
Mn  0.000  0.500  0.000
Mn  0.000  0.500  0.500
Mn  0.500  0.000  0.000
Mn  0.500  0.000  0.500
Al  0.135  0.414  0.750
Al  0.154  0.846  0.096
Al  0.154  0.846  0.404
Al  0.216  0.475  0.250
Al  0.229  0.229  0.000
Al  0.229  0.229  0.500
Al  0.373  0.627  0.543
Al  0.373  0.627  0.957
Al  0.414  0.135  0.250
Al  0.475  0.216  0.750
Al  0.525  0.784  0.250
Al  0.586  0.865  0.750
Al  0.627  0.373  0.043
Al  0.627  0.373  0.457
Al  0.771  0.771  0.000
Al  0.771  0.771  0.500
Al  0.784  0.525  0.750
Al  0.846  0.154  0.596
Al  0.846  0.154  0.904
Al  0.865  0.586  0.250

***

[2]
# Tm6Mn4Al43

An optimized crystal structure of Tm6Mn4Al43 (PBE, Alexandria).

## Properties
The value obtained for the volume is 16.848 A^3/atom. Its space group is P6_3/mcm (193). The energy of formation comes out at -266 meV/atom. The crystal system is hexagonal. For the total energy, the calculation gives -4.501 eV/atom. As for the density of states at the Fermi level: 49.32 states/eV/cell.

Unit cell a=10.865 b=10.865 c=17.469 alpha=90.00 beta=90.00 gamma=120.00
Fractional positions:
Tm  0.000  0.468  0.095
Tm  0.000  0.468  0.405
Tm  0.000  0.532  0.595
Tm  0.000  0.532  0.905
Tm  0.468  0.000  0.095
Tm  0.468  0.000  0.405
Tm  0.468  0.468  0.595
Tm  0.468  0.468  0.905
Tm  0.532  0.000  0.595
Tm  0.532  0.000  0.905
Tm  0.532  0.532  0.095
Tm  0.532  0.532  0.405
Mn  0.000  0.000  0.000
Mn  0.000  0.000  0.500
Mn  0.000  0.267  0.250
Mn  0.000  0.733  0.750
Mn  0.267  0.000  0.250
Mn  0.267  0.267  0.750
Mn  0.733  0.000  0.750
Mn  0.733  0.733  0.250
Al  0.000  0.145  0.750
Al  0.000  0.154  0.116
Al  0.000  0.154  0.384
Al  0.000  0.250  0.530
Al  0.000  0.250  0.970
Al  0.000  0.750  0.030
Al  0.000  0.750  0.470
Al  0.000  0.846  0.616
Al  0.000  0.846  0.884
Al  0.000  0.855  0.250
Al  0.145  0.000  0.750
Al  0.145  0.145  0.250
Al  0.145  0.546  0.250
Al  0.145  0.598  0.750
Al  0.154  0.000  0.116
Al  0.154  0.000  0.384
Al  0.154  0.154  0.616
Al  0.154  0.154  0.884
Al  0.158  0.391  0.665
Al  0.158  0.391  0.835
Al  0.158  0.767  0.165
Al  0.158  0.767  0.335
Al  0.233  0.391  0.165
Al  0.233  0.391  0.335
Al  0.233  0.842  0.665
Al  0.233  0.842  0.835
Al  0.246  0.492  0.000
Al  0.246  0.492  0.500
Al  0.246  0.754  0.000
Al  0.246  0.754  0.500
Al  0.250  0.000  0.530
Al  0.250  0.000  0.970
Al  0.250  0.250  0.030
Al  0.250  0.250  0.470
Al  0.333  0.667  0.127
Al  0.333  0.667  0.373
Al  0.333  0.667  0.627
Al  0.333  0.667  0.873
Al  0.391  0.158  0.665
Al  0.391  0.158  0.835
Al  0.391  0.233  0.165
Al  0.391  0.233  0.335
Al  0.402  0.546  0.750
Al  0.402  0.855  0.250
Al  0.454  0.598  0.250
Al  0.454  0.855  0.750
Al  0.492  0.246  0.000
Al  0.492  0.246  0.500
Al  0.508  0.754  0.000
Al  0.508  0.754  0.500
Al  0.546  0.145  0.250
Al  0.546  0.402  0.750
Al  0.598  0.145  0.750
Al  0.598  0.454  0.250
Al  0.609  0.767  0.665
Al  0.609  0.767  0.835
Al  0.609  0.842  0.165
Al  0.609  0.842  0.335
Al  0.667  0.333  0.127
Al  0.667  0.333  0.373
Al  0.667  0.333  0.627
Al  0.667  0.333  0.873
Al  0.750  0.000  0.030
Al  0.750  0.000  0.470
Al  0.750  0.750  0.530
Al  0.750  0.750  0.970
Al  0.754  0.246  0.000
Al  0.754  0.246  0.500
Al  0.754  0.508  0.000
Al  0.754  0.508  0.500
Al  0.767  0.158  0.165
Al  0.767  0.158  0.335
Al  0.767  0.609  0.665
Al  0.767  0.609  0.835
Al  0.842  0.233  0.665
Al  0.842  0.233  0.835
Al  0.842  0.609  0.165
Al  0.842  0.609  0.335
Al  0.846  0.000  0.616
Al  0.846  0.000  0.884
Al  0.846  0.846  0.116
Al  0.846  0.846  0.384
Al  0.855  0.000  0.250
Al  0.855  0.402  0.250
Al  0.855  0.454  0.750
Al  0.855  0.855  0.750

***

[3]
# TmMn9Al2

An optimized crystal structure of TmMn9Al2 (PBE, Alexandria).

## Properties
The value obtained for the volume is 13.248 A^3/atom. Its space group is R-3m (166). The energy of formation comes out at -16 meV/atom. The crystal system is trigonal. For the total energy, the calculation gives -7.890 eV/atom. As for the density of states at the Fermi level: 14.78 states/eV/cell.

Unit cell a=8.137 b=8.137 c=8.137 alpha=35.09 beta=35.09 gamma=35.09
Fractional positions:
Tm  0.000  0.000  0.000
Mn  0.072  0.595  0.595
Mn  0.340  0.340  0.340
Mn  0.405  0.405  0.928
Mn  0.405  0.928  0.405
Mn  0.500  0.500  0.500
Mn  0.595  0.072  0.595
Mn  0.595  0.595  0.072
Mn  0.660  0.660  0.660
Mn  0.928  0.405  0.405
Al  0.142  0.142  0.142
Al  0.858  0.858  0.858

***

[4]
# TmMnAl3

An optimized crystal structure of TmMnAl3 (PBE, Alexandria).

## Properties
The value obtained for the volume is 18.046 A^3/atom. Its space group is P6_3/mmc (194). The energy of formation comes out at -236 meV/atom. The crystal system is hexagonal. For the total energy, the calculation gives -5.209 eV/atom. As for the density of states at the Fermi level: 5.21 states/eV/cell.

Unit cell a=6.220 b=6.220 c=5.386 alpha=90.00 beta=90.00 gamma=120.00
Fractional positions:
Tm  0.333  0.667  0.250
Tm  0.667  0.333  0.750
Mn  0.000  0.000  0.000
Mn  0.000  0.000  0.500
Al  0.188  0.376  0.750
Al  0.188  0.812  0.750
Al  0.376  0.188  0.250
Al  0.624  0.812  0.750
Al  0.812  0.188  0.250
Al  0.812  0.624  0.250

***

[5]
# Tm2MnAl8

An optimized crystal structure of Tm2MnAl8 (PBE, Alexandria).

## Properties
The value obtained for the volume is 18.056 A^3/atom. Its space group is P4/mmm (123). The energy of formation comes out at -341 meV/atom. The crystal system is tetragonal. For the total energy, the calculation gives -4.710 eV/atom. As for the density of states at the Fermi level: 6.08 states/eV/cell.

Unit cell a=4.211 b=4.211 c=11.200 alpha=90.00 beta=90.00 gamma=90.00
Fractional positions:
Tm  0.000  0.000  0.192
Tm  0.000  0.000  0.808
Mn  0.000  0.000  0.500
Al  0.000  0.500  0.000
Al  0.000  0.500  0.382
Al  0.000  0.500  0.618
Al  0.500  0.000  0.000
Al  0.500  0.000  0.382
Al  0.500  0.000  0.618
Al  0.500  0.500  0.190
Al  0.500  0.500  0.810

***

[6]
# TmMnAl4

An optimized crystal structure of TmMnAl4 (PBE, Alexandria).

## Properties
The value obtained for the volume is 18.919 A^3/atom. Its space group is P4/mcc (124). The energy of formation comes out at 2 meV/atom. The crystal system is tetragonal. For the total energy, the calculation gives -4.766 eV/atom. As for the density of states at the Fermi level: 6.97 states/eV/cell.

Unit cell a=6.268 b=6.268 c=5.778 alpha=90.00 beta=90.00 gamma=90.00
Fractional positions:
Tm  0.000  0.000  0.250
Tm  0.000  0.000  0.750
Mn  0.500  0.500  0.250
Mn  0.500  0.500  0.750
Al  0.190  0.415  0.000
Al  0.190  0.585  0.500
Al  0.415  0.190  0.500
Al  0.415  0.810  0.000
Al  0.585  0.190  0.000
Al  0.585  0.810  0.500
Al  0.810  0.415  0.500
Al  0.810  0.585  0.000

***

[7]
# Tm2MnAl

An optimized crystal structure of Tm2MnAl (PBE, Alexandria).

## Properties
For the distance to the lowest polymorph of the same formula, the calculation gives 43 meV/atom. The value obtained for the volume is 22.167 A^3/atom. Its space group is Fm-3m (225). The energy of formation comes out at -93 meV/atom. The crystal system is cubic. For the total energy, the calculation gives -5.557 eV/atom. As for the density of states at the Fermi level: 19.40 states/eV/cell.

Unit cell a=7.079 b=7.079 c=7.079 alpha=90.00 beta=90.00 gamma=90.00
Fractional positions:
Tm  0.250  0.250  0.250
Tm  0.250  0.250  0.750
Tm  0.250  0.750  0.250
Tm  0.250  0.750  0.750
Tm  0.750  0.250  0.250
Tm  0.750  0.250  0.750
Tm  0.750  0.750  0.250
Tm  0.750  0.750  0.750
Mn  0.000  0.000  0.000
Mn  0.000  0.500  0.500
Mn  0.500  0.000  0.500
Mn  0.500  0.500  0.000
Al  0.000  0.000  0.500
Al  0.000  0.500  0.000
Al  0.500  0.000  0.000
Al  0.500  0.500  0.500

***

[8]
# TmMn5Al7

An optimized crystal structure of TmMn5Al7 (PBE, Alexandria).

## Properties
The value obtained for the volume is 14.430 A^3/atom. Its space group is Imm2 (44). The energy of formation comes out at -304 meV/atom. The crystal system is orthorhombic. For the total energy, the calculation gives -6.190 eV/atom. As for the density of states at the Fermi level: 8.82 states/eV/cell.

Unit cell a=6.632 b=6.632 c=6.632 alpha=136.11 beta=97.67 gamma=98.39
Fractional positions:
Tm  0.000  0.000  0.000
Mn  0.008  0.518  0.011
Mn  0.008  0.997  0.490
Mn  0.507  0.518  0.510
Mn  0.507  0.997  0.989
Mn  0.772  0.272  0.500
Al  0.209  0.500  0.709
Al  0.230  0.730  0.500
Al  0.343  0.343  0.000
Al  0.356  0.015  0.341
Al  0.666  0.666  0.000
Al  0.673  0.015  0.659
Al  0.791  0.500  0.291